1.
A geometry-optimized La4Hg2Os structure. Source: Alexandria via LeMat-Bulk, functional PBE-GGA.

The calculation puts the offset from the most stable computed form at 0.129 eV per atom. The formation energy comes out at -227 meV per atom. The calculation puts the volume at 243 Å³/cell.

Lattice parameters (Å, degrees): 5.559 5.559 8.782 108.45 108.45 90.00
Fractional coordinates of all 7 atoms:
La (0.500, 0.000, 0.000)
La (0.000, 0.500, 0.000)
Os (0.000, 0.000, 0.000)
Hg (0.380, 0.380, 0.759)
Hg (0.620, 0.620, 0.241)
La (0.181, 0.181, 0.361)
La (0.819, 0.819, 0.639)

---

2.
A geometry-optimized LaHgOs2 structure. Source: Alexandria via LeMat-Bulk, functional PBE-GGA.

The formation energy comes out at 637 meV per atom. The calculation puts the volume at 78 Å³/cell.

Lattice parameters (Å, degrees): 4.331 4.331 4.164 90.00 90.00 90.00
Fractional coordinates of all 4 atoms:
Os (0.500, 0.500, 0.000)
Os (0.000, 0.000, 0.000)
Hg (0.500, 0.000, 0.500)
La (0.000, 0.500, 0.500)

---

3.
A geometry-optimized LaHgOs structure. Source: Alexandria via LeMat-Bulk, functional PBE-GGA.

The formation energy comes out at 901 meV per atom. The calculation puts the volume at 85 Å³/cell.

Lattice parameters (Å, degrees): 4.934 4.934 4.934 60.00 60.00 60.00
Fractional coordinates of all 3 atoms:
Os (0.000, 0.000, 0.000)
La (0.750, 0.750, 0.750)
Hg (0.500, 0.500, 0.500)

---

4.
A geometry-optimized LaHgOs4 structure. Source: Alexandria via LeMat-Bulk, functional PBE-GGA.

The formation energy comes out at 412 meV per atom. The calculation puts the volume at 111 Å³/cell.

Lattice parameters (Å, degrees): 5.391 5.391 5.391 60.00 60.00 60.00
Fractional coordinates of all 6 atoms:
Os (0.873, 0.376, 0.376)
Hg (0.750, 0.750, 0.750)
Os (0.376, 0.376, 0.873)
Os (0.376, 0.376, 0.376)
La (0.000, 0.000, 0.000)
Os (0.376, 0.873, 0.376)

---

5.
A geometry-optimized La8Hg2Os structure. Source: Alexandria via LeMat-Bulk, functional PBE-GGA.

The calculation puts the offset from the most stable computed form at 0.071 eV per atom. The formation energy comes out at -140 meV per atom. The calculation puts the volume at 336 Å³/cell.

Lattice parameters (Å, degrees): 5.950 7.501 8.912 114.89 109.50 90.00
Fractional coordinates of all 11 atoms:
La (0.143, 0.143, 0.285)
Hg (0.193, 0.693, 0.385)
La (0.367, 0.601, 0.734)
La (0.633, 0.867, 0.266)
La (0.633, 0.399, 0.266)
La (0.000, 0.730, 0.000)
La (0.000, 0.270, 0.000)
Hg (0.807, 0.307, 0.615)
Os (0.500, 0.000, 0.000)
La (0.857, 0.857, 0.715)
La (0.367, 0.133, 0.734)

---

6.
A geometry-optimized LaHgOs2 structure. Source: Alexandria via LeMat-Bulk, functional PBE-GGA.

The formation energy comes out at 683 meV per atom. The calculation puts the volume at 81 Å³/cell.

Lattice parameters (Å, degrees): 4.770 3.008 5.622 91.39 90.00 90.00
Fractional coordinates of all 4 atoms:
La (0.500, 0.750, 0.750)
Os (0.000, 0.036, 0.953)
Hg (0.500, 0.250, 0.250)
Os (0.000, 0.464, 0.547)

---

7.
A geometry-optimized LaHg3Os structure. Source: Alexandria via LeMat-Bulk, functional PBE-GGA.

The calculation puts the offset from the most stable computed form at 0.000 eV per atom. The formation energy comes out at 326 meV per atom. The calculation puts the volume at 140 Å³/cell.

Lattice parameters (Å, degrees): 5.190 5.190 5.190 90.00 90.00 90.00
Fractional coordinates of all 5 atoms:
Hg (0.000, 0.500, 0.000)
Hg (0.000, 0.000, 0.500)
Hg (0.500, 0.000, 0.000)
La (0.500, 0.500, 0.500)
Os (0.000, 0.000, 0.000)

---

8.
A geometry-optimized La4Hg2Os structure. Source: Alexandria via LeMat-Bulk, functional PBE-GGA.

The calculation puts the offset from the most stable computed form at 0.000 eV per atom. The formation energy comes out at -356 meV per atom. The calculation puts the volume at 215 Å³/cell.

Lattice parameters (Å, degrees): 4.705 6.305 8.304 73.88 73.54 68.09
Fractional coordinates of all 7 atoms:
Os (0.000, 0.000, 0.000)
Hg (0.644, 0.375, 0.336)
La (0.069, 0.207, 0.656)
Hg (0.356, 0.625, 0.664)
La (0.668, 0.724, 0.940)
La (0.332, 0.276, 0.060)
La (0.931, 0.793, 0.344)

---

9.
A geometry-optimized LaHgOs2 structure. Source: Alexandria via LeMat-Bulk, functional PBE-GGA.

The formation energy comes out at 215 meV per atom. The calculation puts the volume at 83 Å³/cell.

Lattice parameters (Å, degrees): 3.834 2.914 8.015 68.56 90.00 90.00
Fractional coordinates of all 4 atoms:
La (0.500, 0.717, 0.781)
Os (0.000, 0.936, 0.066)
Os (0.500, 0.308, 0.194)
Hg (0.000, 0.539, 0.460)

---

10.
A geometry-optimized LaHgOs structure. Source: Alexandria via LeMat-Bulk, functional PBE-GGA.

The formation energy comes out at 266 meV per atom. The calculation puts the volume at 70 Å³/cell.

Lattice parameters (Å, degrees): 6.520 6.520 3.391 74.93 74.92 30.15
Fractional coordinates of all 3 atoms:
Hg (0.026, 0.026, 0.974)
La (0.311, 0.311, 0.689)
Os (0.664, 0.664, 0.336)

---

11.
A geometry-optimized LaHgOs3 structure. Source: Alexandria via LeMat-Bulk, functional PBE-GGA.

The calculation puts the offset from the most stable computed form at 0.000 eV per atom. The formation energy comes out at 2157 meV per atom. The calculation puts the volume at 121 Å³/cell.

Lattice parameters (Å, degrees): 4.945 4.945 4.945 90.00 90.00 90.00
Fractional coordinates of all 5 atoms:
Hg (0.000, 0.000, 0.000)
Os (0.000, 0.000, 0.500)
Os (0.000, 0.500, 0.000)
La (0.500, 0.500, 0.500)
Os (0.500, 0.000, 0.000)

---

12.
A geometry-optimized LaHgOs2 structure. Source: Alexandria via LeMat-Bulk, functional PBE-GGA.

The formation energy comes out at 806 meV per atom. The calculation puts the volume at 83 Å³/cell.

Lattice parameters (Å, degrees): 3.590 3.590 6.450 90.00 90.00 90.00
Fractional coordinates of all 4 atoms:
Os (0.000, 0.000, 0.452)
Hg (0.500, 0.500, 0.250)
La (0.500, 0.500, 0.750)
Os (0.000, 0.000, 0.048)

---

13.
A geometry-optimized La8HgOs2 structure. Source: Alexandria via LeMat-Bulk, functional PBE-GGA.

The calculation puts the offset from the most stable computed form at 0.000 eV per atom. The formation energy comes out at -157 meV per atom. The calculation puts the volume at 360 Å³/cell.

Lattice parameters (Å, degrees): 6.660 8.551 8.551 48.24 97.44 97.44
Fractional coordinates of all 11 atoms:
La (0.620, 0.110, 0.626)
La (0.620, 0.626, 0.110)
La (0.120, 0.800, 0.800)
La (0.380, 0.890, 0.374)
La (0.380, 0.374, 0.890)
Hg (0.000, 0.000, 0.000)
La (0.829, 0.570, 0.570)
Os (0.700, 0.724, 0.724)
La (0.171, 0.430, 0.430)
Os (0.300, 0.276, 0.276)
La (0.880, 0.200, 0.200)

---

14.
A geometry-optimized LaHgOs2 structure. Source: Alexandria via LeMat-Bulk, functional PBE-GGA.

The formation energy comes out at 728 meV per atom. The calculation puts the volume at 79 Å³/cell.

Lattice parameters (Å, degrees): 3.190 5.218 4.729 90.00 90.00 90.00
Fractional coordinates of all 4 atoms:
Os (0.500, 0.500, 0.000)
Hg (0.500, 0.000, 0.500)
La (0.000, 0.500, 0.500)
Os (0.000, 0.000, 0.000)

---

15.
A geometry-optimized LaHgOs2 structure. Source: Alexandria via LeMat-Bulk, functional PBE-GGA.

The formation energy comes out at 956 meV per atom. The calculation puts the volume at 76 Å³/cell.

Lattice parameters (Å, degrees): 10.242 10.242 10.242 16.50 16.50 16.50
Fractional coordinates of all 4 atoms:
La (0.750, 0.750, 0.750)
Hg (0.250, 0.250, 0.250)
Os (0.505, 0.505, 0.505)
Os (0.995, 0.995, 0.995)

---

16.
A geometry-optimized LaHgOs structure. Source: Alexandria via LeMat-Bulk, functional PBE-GGA.

The formation energy comes out at 259 meV per atom. The calculation puts the volume at 73 Å³/cell.

Lattice parameters (Å, degrees): 4.687 4.687 3.841 90.00 90.00 120.00
Fractional coordinates of all 3 atoms:
La (0.667, 0.333, 0.333)
Os (0.333, 0.667, 0.833)
Hg (0.000, 0.000, 0.834)

---

17.
A geometry-optimized LaHgOs2 structure. Source: Alexandria via LeMat-Bulk, functional PBE-GGA.

The formation energy comes out at 786 meV per atom. The calculation puts the volume at 80 Å³/cell.

Lattice parameters (Å, degrees): 5.240 5.240 5.240 131.23 131.23 71.45
Fractional coordinates of all 4 atoms:
La (0.750, 0.250, 0.500)
Os (0.000, 0.000, 0.000)
Os (0.500, 0.500, 0.000)
Hg (0.250, 0.750, 0.500)

---

18.
A geometry-optimized La3Hg2Os structure. Source: Alexandria via LeMat-Bulk, functional PBE-GGA.

The formation energy comes out at -322 meV per atom. The calculation puts the volume at 329 Å³/cell.

Lattice parameters (Å, degrees): 5.350 8.259 7.883 90.00 90.00 70.70
Fractional coordinates of all 12 atoms:
Os (0.672, 0.685, 0.000)
Hg (0.665, 0.673, 0.500)
La (0.500, 0.000, 0.228)
Os (0.328, 0.315, 0.000)
Hg (0.000, 0.000, 0.500)
La (0.821, 0.357, 0.782)
Hg (0.335, 0.327, 0.500)
La (0.821, 0.357, 0.218)
La (0.500, 0.000, 0.772)
La (0.179, 0.643, 0.218)
La (0.179, 0.643, 0.782)
Hg (0.000, 0.000, 0.000)

---

19.
A geometry-optimized LaHgOs2 structure. Source: Alexandria via LeMat-Bulk, functional PBE-GGA.

The formation energy comes out at 726 meV per atom. The calculation puts the volume at 79 Å³/cell.

Lattice parameters (Å, degrees): 5.224 5.224 5.224 131.14 131.14 71.59
Fractional coordinates of all 4 atoms:
Os (0.000, 0.000, 0.000)
La (0.750, 0.250, 0.500)
Hg (0.500, 0.500, 0.000)
Os (0.250, 0.750, 0.500)

---

20.
A geometry-optimized LaHg4Os structure. Source: Alexandria via LeMat-Bulk, functional PBE-GGA.

The formation energy comes out at 361 meV per atom. The calculation puts the volume at 136 Å³/cell.

Lattice parameters (Å, degrees): 5.772 5.772 5.772 60.00 60.00 60.00
Fractional coordinates of all 6 atoms:
Hg (0.374, 0.374, 0.877)
Hg (0.877, 0.374, 0.374)
Hg (0.374, 0.374, 0.374)
Os (0.000, 0.000, 0.000)
Hg (0.374, 0.877, 0.374)
La (0.750, 0.750, 0.750)

---

21.
A geometry-optimized LaHgOs2 structure. Source: Alexandria via LeMat-Bulk, functional PBE-GGA.

The formation energy comes out at 283 meV per atom. The calculation puts the volume at 97 Å³/cell.

Lattice parameters (Å, degrees): 4.711 4.711 5.724 66.30 66.30 59.31
Fractional coordinates of all 4 atoms:
Hg (0.750, 0.750, 0.750)
Os (0.430, 0.430, 0.719)
Os (0.070, 0.070, 0.781)
La (0.250, 0.250, 0.250)

---

22.
A geometry-optimized La8Hg2Os structure. Source: Alexandria via LeMat-Bulk, functional PBE-GGA.

The calculation puts the offset from the most stable computed form at 0.000 eV per atom. The formation energy comes out at -210 meV per atom. The calculation puts the volume at 346 Å³/cell.

Lattice parameters (Å, degrees): 5.504 7.056 9.977 110.79 106.01 90.00
Fractional coordinates of all 11 atoms:
La (0.985, 0.199, 0.969)
La (0.206, 0.309, 0.412)
Os (0.500, 0.000, 0.000)
La (0.588, 0.433, 0.175)
La (0.794, 0.691, 0.588)
La (0.412, 0.567, 0.825)
Hg (0.168, 0.716, 0.336)
La (0.344, 0.009, 0.688)
La (0.015, 0.801, 0.031)
La (0.656, 0.991, 0.312)
Hg (0.832, 0.284, 0.664)

---

23.
A geometry-optimized LaHgOs2 structure. Source: Alexandria via LeMat-Bulk, functional PBE-GGA.

The formation energy comes out at 502 meV per atom. The calculation puts the volume at 81 Å³/cell.

Lattice parameters (Å, degrees): 6.095 6.095 6.095 151.02 131.70 57.31
Fractional coordinates of all 4 atoms:
Os (0.961, 0.961, 0.000)
La (0.240, 0.740, 0.500)
Os (0.768, 0.268, 0.500)
Hg (0.530, 0.530, 0.000)

---

24.
A geometry-optimized LaHgOs2 structure. Source: Alexandria via LeMat-Bulk, functional PBE-GGA.

The formation energy comes out at 809 meV per atom. The calculation puts the volume at 195 Å³/cell.

Lattice parameters (Å, degrees): 4.326 4.326 10.879 78.53 78.53 90.00
Fractional coordinates of all 8 atoms:
Hg (0.750, 0.250, 0.500)
La (0.500, 0.500, 0.000)
Hg (0.000, 0.000, 0.000)
Os (0.510, 0.125, 0.250)
Os (0.875, 0.760, 0.750)
La (0.250, 0.750, 0.500)
Os (0.375, 0.490, 0.750)
Os (0.240, 0.625, 0.250)

---

25.
A geometry-optimized LaHg3Os structure. Source: Alexandria via LeMat-Bulk, functional PBE-GGA.

The calculation puts the offset from the most stable computed form at 1.408 eV per atom. The formation energy comes out at 1734 meV per atom. The calculation puts the volume at 221 Å³/cell.

Lattice parameters (Å, degrees): 6.045 6.045 6.045 90.00 90.00 90.00
Fractional coordinates of all 5 atoms:
La (0.000, 0.000, 0.000)
Hg (0.000, 0.500, 0.000)
Hg (0.000, 0.000, 0.500)
Hg (0.500, 0.000, 0.000)
Os (0.500, 0.500, 0.500)

---

26.
A geometry-optimized LaHgOsPd2 structure. Source: Alexandria via LeMat-Bulk, functional PBE-GGA.

The formation energy comes out at 756 meV per atom. The calculation puts the volume at 125 Å³/cell.

Lattice parameters (Å, degrees): 4.977 5.058 4.977 90.00 90.00 90.00
Fractional coordinates of all 5 atoms:
Hg (0.000, 0.000, 0.000)
Pd (0.500, 0.000, 0.000)
Pd (0.000, 0.000, 0.500)
La (0.500, 0.500, 0.500)
Os (0.000, 0.500, 0.000)

---

27.
A geometry-optimized LaPmHgOs structure. Source: Alexandria via LeMat-Bulk, functional PBE-GGA.

The formation energy comes out at -142 meV per atom. The calculation puts the volume at 100 Å³/cell.

Lattice parameters (Å, degrees): 5.206 5.206 5.206 60.00 60.00 60.00
Fractional coordinates of all 4 atoms:
Hg (0.750, 0.750, 0.750)
Os (0.250, 0.250, 0.250)
Pm (0.000, 0.000, 0.000)
La (0.500, 0.500, 0.500)

---

28.
A geometry-optimized La2HgOsPt structure. Source: Alexandria via LeMat-Bulk, functional PBE-GGA.

The formation energy comes out at 964 meV per atom. The calculation puts the volume at 162 Å³/cell.

Lattice parameters (Å, degrees): 5.771 4.862 5.771 90.00 90.00 90.00
Fractional coordinates of all 5 atoms:
Os (0.000, 0.500, 0.000)
Hg (0.000, 0.000, 0.000)
La (0.500, 0.000, 0.000)
La (0.000, 0.000, 0.500)
Pt (0.500, 0.500, 0.500)